1.
{"formula": "Tl2AgB", "functional": "PBE", "state": "optimized geometry", "lattice": [[7.009, 0.000, 0.000], [0.000, 7.009, 0.000], [0.000, 0.000, 7.009]], "species": ["Tl", "Tl", "Tl", "Tl", "Tl", "Tl", "Tl", "Tl", "Ag", "Ag", "Ag", "Ag", "B", "B", "B", "B"], "fractional_positions": [[0.250, 0.250, 0.250], [0.250, 0.250, 0.750], [0.250, 0.750, 0.250], [0.250, 0.750, 0.750], [0.750, 0.250, 0.250], [0.750, 0.250, 0.750], [0.750, 0.750, 0.250], [0.750, 0.750, 0.750], [0.000, 0.000, 0.000], [0.000, 0.500, 0.500], [0.500, 0.000, 0.500], [0.500, 0.500, 0.000], [0.000, 0.000, 0.500], [0.000, 0.500, 0.000], [0.500, 0.000, 0.000], [0.500, 0.500, 0.500]], "relative_energy_mev_per_atom": 157, "dos_at_fermi_per_ev_atom": 0.438}



2.
{"formula": "ZnTe2", "functional": "PBE", "state": "optimized geometry", "lattice": [[4.831, 0.000, 0.000], [0.000, 4.831, 0.000], [0.000, 0.000, 7.904]], "species": ["Zn", "Zn", "Te", "Te", "Te", "Te"], "fractional_positions": [[0.250, 0.250, 0.178], [0.750, 0.750, 0.822], [0.250, 0.250, 0.504], [0.250, 0.750, 0.000], [0.750, 0.250, 0.000], [0.750, 0.750, 0.496]], "e_form_raw_mev_per_atom": -87, "dos_at_fermi_per_ev_atom": 0.317}



3.
{"formula": "Ac2In8Ga", "functional": "PBE", "state": "optimized geometry", "lattice": [[4.981, 0.000, 0.000], [0.000, 4.981, 0.000], [0.000, 0.000, 12.797]], "species": ["Ac", "Ac", "In", "In", "In", "In", "In", "In", "In", "In", "Ga"], "fractional_positions": [[0.000, 0.000, 0.190], [0.000, 0.000, 0.810], [0.000, 0.500, 0.000], [0.000, 0.500, 0.376], [0.000, 0.500, 0.624], [0.500, 0.000, 0.000], [0.500, 0.000, 0.376], [0.500, 0.000, 0.624], [0.500, 0.500, 0.186], [0.500, 0.500, 0.814], [0.000, 0.000, 0.500]], "e_tot_ev_per_atom": -3.283, "dos_at_fermi_per_ev_atom": 0.451}